Arrangement one

BeTc | PBE | relaxed

Results
**Total moment**: 0.0000 μB/atom
**SG**: P6_3/m

abc: 9.357 9.357 2.422
angles: 90.00 90.00 120.00
Element x y z (fractional)
Be: 0.710 0.068 0.250
Be: 0.642 0.710 0.750
Be: 0.932 0.642 0.250
Be: 0.290 0.932 0.750
Be: 0.358 0.290 0.250
Be: 0.068 0.358 0.750
Tc: 0.843 0.352 0.250
Tc: 0.492 0.843 0.750
Tc: 0.648 0.492 0.250
Tc: 0.157 0.648 0.750
Tc: 0.508 0.157 0.250
Tc: 0.352 0.508 0.750

***

Arrangement two

BeTc | PBE | relaxed

Results
**Total moment**: 0.0000 μB/atom
**SG**: P4/nmm

abc: 2.790 2.790 5.952
angles: 90.00 90.00 89.99
Element x y z (fractional)
Be: 0.000 0.000 0.968
Be: 0.500 0.500 0.782
Tc: 0.000 0.000 0.520
Tc: 0.500 0.500 0.230

***

Arrangement three

BeTc | PBE | relaxed

Results
**Total moment**: 0.0000 μB/atom
**SG**: P4/mcc

abc: 6.855 6.855 4.219
angles: 90.00 90.00 90.00
Element x y z (fractional)
Be: 0.921 0.225 0.000
Be: 0.921 0.775 0.500
Be: 0.079 0.225 0.500
Be: 0.079 0.775 0.000
Be: 0.775 0.079 0.500
Be: 0.775 0.921 0.000
Be: 0.225 0.079 0.000
Be: 0.225 0.921 0.500
Tc: 0.796 0.585 0.000
Tc: 0.796 0.415 0.500
Tc: 0.204 0.585 0.500
Tc: 0.204 0.415 0.000
Tc: 0.415 0.204 0.500
Tc: 0.415 0.796 0.000
Tc: 0.585 0.204 0.000
Tc: 0.585 0.796 0.500

***

The least stable of them is arrangement one.

***

Arrangement one

BeTc | PBE | relaxed

Results
**Total moment**: 0.0000 μB/atom
**SG**: Immm

abc: 2.619 3.988 4.483
angles: 90.00 90.00 90.00
Element x y z (fractional)
Be: 0.500 0.000 0.500
Be: 0.000 0.500 0.000
Tc: 0.000 0.500 0.500
Tc: 0.500 0.000 0.000

***

Arrangement two

BeTc | PBE | relaxed

Results
**Total moment**: 0.0006 μB/atom
**SG**: P6_3/mmc

abc: 3.395 3.395 4.698
angles: 90.00 90.00 120.00
Element x y z (fractional)
Be: 0.000 0.000 0.000
Be: 0.000 0.000 0.500
Tc: 0.333 0.667 0.250
Tc: 0.667 0.333 0.750

***

The least stable of them is arrangement two.

***

Arrangement one

Be3Tc2 | PBE | relaxed

Results
**Total moment**: 0.0000 μB/atom
**SG**: Fdd2

abc: 6.932 6.130 4.576
angles: 79.25 60.32 40.43
Element x y z (fractional)
Be: 0.825 0.413 0.325
Be: 0.438 0.325 0.413
Be: 0.837 0.425 0.812
Be: 0.925 0.812 0.425
Be: 0.967 0.033 0.033
Be: 0.217 0.283 0.283
Tc: 0.265 0.841 0.388
Tc: 0.505 0.388 0.841
Tc: 0.409 0.985 0.745
Tc: 0.862 0.745 0.985

***

Arrangement two

Be3Tc2 | PBE | relaxed

Results
**Total moment**: 0.0000 μB/atom
**SG**: Cmce

abc: 4.464 4.464 5.936
angles: 90.00 90.00 60.56
Element x y z (fractional)
Be: 0.500 0.500 0.500
Be: 0.000 0.000 0.000
Be: 0.656 0.156 0.750
Be: 0.844 0.344 0.250
Be: 0.156 0.656 0.750
Be: 0.344 0.844 0.250
Tc: 0.164 0.164 0.598
Tc: 0.836 0.836 0.402
Tc: 0.336 0.336 0.098
Tc: 0.664 0.664 0.902

***

Arrangement three

Be3Tc2 | PBE | relaxed

Results
**Total moment**: 0.0000 μB/atom
**SG**: P-3m1

abc: 4.070 4.070 4.662
angles: 90.00 90.00 120.00
Element x y z (fractional)
Be: 0.000 0.000 0.000
Be: 0.667 0.333 0.600
Be: 0.333 0.667 0.400
Tc: 0.667 0.333 0.095
Tc: 0.333 0.667 0.905

***

The least stable of them is arrangement three.

***

Arrangement one

BeTc3 | PBE | relaxed

Results
**Total moment**: 0.0000 μB/atom
**SG**: Immm

abc: 4.938 4.938 4.938
angles: 144.42 130.42 62.51
Element x y z (fractional)
Be: 0.083 0.000 0.083
Tc: 0.583 0.500 0.083
Tc: 0.842 0.258 0.583
Tc: 0.325 0.742 0.583

***

Arrangement two

BeTc3 | PBE | relaxed

Results
**Total moment**: 0.0004 μB/atom
**SG**: Pm-3m

abc: 3.767 3.767 3.767
angles: 90.00 90.00 90.00
Element x y z (fractional)
Be: 0.000 0.000 0.000
Tc: 0.000 0.500 0.500
Tc: 0.500 0.000 0.500
Tc: 0.500 0.500 0.000

***

The least stable of them is arrangement two.

***

Arrangement one

BeTc3 | PBE | relaxed

Results
**Total moment**: 0.0000 μB/atom
**SG**: P6_3/mmc

abc: 5.293 5.293 8.783
angles: 90.00 90.00 120.00
Element x y z (fractional)
Be: 0.000 0.000 0.000
Be: 0.000 0.000 0.500
Be: 0.333 0.667 0.250
Be: 0.667 0.333 0.750
Tc: 0.500 0.000 0.000
Tc: 0.500 0.000 0.500
Tc: 0.000 0.500 0.000
Tc: 0.500 0.500 0.000
Tc: 0.500 0.500 0.500
Tc: 0.000 0.500 0.500
Tc: 0.839 0.678 0.250
Tc: 0.161 0.322 0.750
Tc: 0.322 0.161 0.250
Tc: 0.839 0.161 0.250
Tc: 0.161 0.839 0.750
Tc: 0.678 0.839 0.750

***

Arrangement two

BeTc3 | PBE | relaxed

Results
**Total moment**: 0.0001 μB/atom
**SG**: Fm-3m

abc: 4.233 4.233 4.233
angles: 60.00 60.00 60.00
Element x y z (fractional)
Be: 0.000 0.000 0.000
Tc: 0.250 0.250 0.250
Tc: 0.500 0.500 0.500
Tc: 0.750 0.750 0.750

***

The least stable of them is arrangement two.

***

Arrangement one

BeTc3 | PBE | relaxed

Results
**Total moment**: 0.0000 μB/atom
**SG**: Pnma

abc: 4.859 5.735 7.401
angles: 90.00 90.00 90.00
Element x y z (fractional)
Be: 0.589 0.887 0.750
Be: 0.089 0.613 0.250
Be: 0.911 0.387 0.750
Be: 0.411 0.113 0.250
Tc: 0.133 0.023 0.750
Tc: 0.633 0.477 0.250
Tc: 0.367 0.523 0.750
Tc: 0.867 0.977 0.250
Tc: 0.637 0.186 0.951
Tc: 0.137 0.314 0.049
Tc: 0.863 0.686 0.549
Tc: 0.363 0.814 0.451
Tc: 0.363 0.814 0.049
Tc: 0.863 0.686 0.951
Tc: 0.137 0.314 0.451
Tc: 0.637 0.186 0.549

***

Arrangement two

BeTc3 | PBE | relaxed

Results
**Total moment**: 0.0000 μB/atom
**SG**: Cmmm

abc: 4.664 4.664 2.746
angles: 90.00 90.00 114.63
Element x y z (fractional)
Be: 0.000 0.000 0.000
Tc: 0.000 0.500 0.500
Tc: 0.500 0.000 0.500
Tc: 0.500 0.500 0.000

***

The least stable of them is arrangement two.

***

Arrangement one

BeTc4 | PBE | relaxed

Results
**Total moment**: 0.0000 μB/atom
**SG**: Pm-3m

abc: 4.103 4.103 4.103
angles: 90.00 90.00 90.00
Element x y z (fractional)
Be: 0.500 0.500 0.500
Tc: 0.000 0.000 0.000
Tc: 0.500 0.000 0.500
Tc: 0.000 0.500 0.500
Tc: 0.500 0.500 0.000

***

Arrangement two

BeTc4 | PBE | relaxed

Results
**Total moment**: 0.0000 μB/atom
**SG**: Im-3m

abc: 4.584 4.584 4.584
angles: 109.47 109.47 109.47
Element x y z (fractional)
Be: 0.000 0.000 0.000
Tc: 0.500 0.000 0.000
Tc: 0.500 0.500 0.500
Tc: 0.000 0.500 0.000
Tc: 0.000 0.000 0.500

***

The least stable of them is arrangement two.

***

Arrangement one

Be2Tc | PBE | relaxed

Results
**Total moment**: 0.0000 μB/atom
**SG**: P6_3/mmc

abc: 4.372 4.372 14.219
angles: 90.00 90.00 120.00
Element x y z (fractional)
Be: 0.333 0.667 0.874
Be: 0.667 0.333 0.126
Be: 0.667 0.333 0.374
Be: 0.333 0.667 0.626
Be: 0.000 0.500 0.000
Be: 0.500 0.000 0.000
Be: 0.500 0.500 0.000
Be: 0.000 0.500 0.500
Be: 0.500 0.000 0.500
Be: 0.500 0.500 0.500
Be: 0.673 0.836 0.750
Be: 0.164 0.327 0.750
Be: 0.164 0.836 0.750
Be: 0.327 0.164 0.250
Be: 0.836 0.673 0.250
Be: 0.836 0.164 0.250
Tc: 0.000 0.000 0.905
Tc: 0.000 0.000 0.095
Tc: 0.000 0.000 0.405
Tc: 0.000 0.000 0.595
Tc: 0.333 0.667 0.158
Tc: 0.667 0.333 0.842
Tc: 0.667 0.333 0.658
Tc: 0.333 0.667 0.342

***

Arrangement two

Be2Tc | PBE | relaxed

Results
**Total moment**: 0.0000 μB/atom
**SG**: Immm

abc: 4.510 4.510 4.510
angles: 147.84 140.11 52.13
Element x y z (fractional)
Be: 0.816 0.316 0.500
Be: 0.184 0.684 0.500
Tc: 0.500 0.000 0.500

***

The least stable of them is arrangement two.